Entry 1:
{
  "formula": "Sr3TbC2N6",
  "functional": "GGA-PBE",
  "state": "relaxed",
  "volume_a3_per_cell": 182.11,
  "space_group": "P-3m1",
  "dos_ef_per_ev_cell": 4.20,
  "mass_density_g_cm3": 4.83,
  "raw_formation_energy_ev_per_atom": -0.741,
  "lattice_angstrom": [[5.622, 0.000, 0.000], [-2.811, 4.868, 0.000], [0.000, 0.000, 6.654]],
  "species": ["N", "N", "N", "N", "N", "N", "Sr", "Sr", "Sr", "C", "C", "Tb"],
  "fractional_positions": [[0.193, 0.807, 0.282], [0.386, 0.193, 0.718], [0.807, 0.614, 0.718], [0.193, 0.386, 0.282], [0.614, 0.807, 0.282], [0.807, 0.193, 0.718], [0.667, 0.333, 0.320], [0.333, 0.667, 0.680], [0.000, 0.000, 0.000], [0.333, 0.667, 0.273], [0.667, 0.333, 0.727], [0.000, 0.000, 0.500]]
}

---

Entry 2:
{
  "formula": "SrTb2C2N6",
  "functional": "GGA-PBE",
  "state": "relaxed",
  "volume_a3_per_cell": 147.22,
  "space_group": "P-1",
  "dos_ef_per_ev_cell": 0.00,
  "mass_density_g_cm3": 5.79,
  "raw_formation_energy_ev_per_atom": -0.735,
  "lattice_angstrom": [[-4.967, 2.553, 3.434], [-6.032, -1.890, 0.098], [1.817, -1.739, 4.025]],
  "species": ["N", "N", "N", "N", "N", "N", "Tb", "Tb", "C", "C", "Sr"],
  "fractional_positions": [[0.105, 0.090, 0.309], [0.684, 0.480, 0.265], [0.910, 0.632, 0.962], [0.895, 0.910, 0.691], [0.090, 0.368, 0.038], [0.316, 0.520, 0.735], [0.755, 0.349, 0.722], [0.245, 0.651, 0.278], [0.957, 0.314, 0.208], [0.043, 0.686, 0.792], [0.500, 0.000, 0.500]]
}

---

Entry 3:
{
  "formula": "SrTeCN2",
  "functional": "GGA-PBE",
  "state": "relaxed",
  "volume_a3_per_cell": 82.71,
  "space_group": "P4/mmm",
  "polymorph_energy_mev_per_atom": 0,
  "dos_ef_per_ev_cell": 2.70,
  "mass_density_g_cm3": 5.12,
  "raw_formation_energy_ev_per_atom": 1.812,
  "lattice_angstrom": [[-0.999, -2.439, 3.447], [3.647, -2.284, -0.559], [2.155, 2.802, 2.607]],
  "species": ["N", "N", "Sr", "Te", "C"],
  "fractional_positions": [[0.500, 0.000, 0.000], [0.000, 0.500, 0.000], [0.500, 0.500, 0.500], [0.000, 0.000, 0.500], [0.000, 0.000, 0.000]]
}